Record 1
ZrCo: optimized geometry, PBE-GGA.

Calculated values
Its raw total energy is -7.93 eV/atom. The value obtained for the energy relative to the elements is -104.6 meV/atom.

Lattice parameters (Å, degrees): 4.9136 9.4402 4.1702 90.00 90.00 90.00
Atoms (fractional coordinates):
Co: 0.9614 0.0034 0.0000
Co: 0.4614 0.1632 0.0000
Co: 0.2174 0.0792 0.5000
Co: 0.7174 0.0875 0.5000
Co: 0.9526 0.4773 0.5000
Co: 0.4526 0.6894 0.5000
Zr: 0.9570 0.2801 0.0000
Zr: 0.4588 0.5294 0.0000
Zr: 0.9588 0.6373 0.0000
Zr: 0.4569 0.8866 0.0000
Zr: 0.4530 0.3231 0.5000
Zr: 0.9529 0.8436 0.5000



Record 2
ZrCo: optimized geometry, PBE-GGA.

Calculated values
Its raw total energy is -7.76 eV/atom. The value obtained for the energy relative to the elements is 70.7 meV/atom.

Lattice parameters (Å, degrees): 9.9017 3.1260 4.2978 90.00 90.00 90.00
Atoms (fractional coordinates):
Co: 0.4578 0.0000 0.0000
Co: 0.2724 0.5000 0.0000
Co: 0.6443 0.0000 0.5000
Co: 0.4588 0.5000 0.5000
Zr: 0.0225 0.0000 0.0000
Zr: 0.6770 0.5000 0.0000
Zr: 0.2396 0.0000 0.5000
Zr: 0.8942 0.5000 0.5000



Record 3
ZrCo: optimized geometry, PBE-GGA.

Calculated values
Its raw total energy is -7.42 eV/atom. The value obtained for the energy relative to the elements is 405.5 meV/atom.

Lattice parameters (Å, degrees): 4.2783 4.2783 5.1208 90.00 90.00 120.00
Atoms (fractional coordinates):
Co: 0.3333 0.6667 0.4374
Co: 0.0000 0.0000 0.9374
Zr: 0.0000 0.0000 0.4376
Zr: 0.3333 0.6667 0.9376



Record 4
ZrCo: optimized geometry, PBE-GGA.

Calculated values
Its raw total energy is -7.63 eV/atom. The value obtained for the energy relative to the elements is 195.7 meV/atom.

Lattice parameters (Å, degrees): 4.9514 11.3354 4.5487 90.00 90.00 90.00
Atoms (fractional coordinates):
Co: 0.9291 0.2548 0.0000
Co: 0.5103 0.3750 0.0000
Co: 0.9291 0.4952 0.0000
Co: 0.5480 0.8750 0.0000
Co: 0.7853 0.3750 0.5000
Co: 0.4042 0.7548 0.5000
Co: 0.8230 0.8750 0.5000
Co: 0.4042 0.9952 0.5000
Zr: 0.4729 0.1253 0.0000
Zr: 0.4729 0.6247 0.0000
Zr: 0.0224 0.7627 0.0000
Zr: 0.0224 0.9873 0.0000
Zr: 0.8605 0.1245 0.5000
Zr: 0.3108 0.2625 0.5000
Zr: 0.3108 0.4875 0.5000
Zr: 0.8605 0.6255 0.5000



Record 5
ZrCo: optimized geometry, PBE-GGA.

Calculated values
Its raw total energy is -8.09 eV/atom. The value obtained for the energy relative to the elements is -267.1 meV/atom.

Lattice parameters (Å, degrees): 4.3978 3.1124 4.7282 90.00 90.00 90.00
Atoms (fractional coordinates):
Co: 0.2500 0.0000 0.2041
Co: 0.7500 0.0000 0.7959
Zr: 0.7500 0.5000 0.2574
Zr: 0.2500 0.5000 0.7426



Record 6
Zr3Co: optimized geometry, PBE-GGA.

Calculated values
Its raw total energy is -8.40 eV/atom. The value obtained for the energy relative to the elements is -210.4 meV/atom.

Lattice parameters (Å, degrees): 8.9883 5.6406 5.6406 33.69 90.00 90.00
Atoms (fractional coordinates):
Co: 0.0000 0.2718 0.2718
Co: 0.5000 0.7279 0.7279
Zr: 0.3063 0.1353 0.1353
Zr: 0.6937 0.1353 0.1353
Zr: 0.5000 0.4202 0.4202
Zr: 0.0000 0.5797 0.5797
Zr: 0.1941 0.8649 0.8649
Zr: 0.8059 0.8649 0.8649



Record 7
ZrCo: optimized geometry, PBE-GGA.

Calculated values
Its raw total energy is -7.83 eV/atom. The value obtained for the energy relative to the elements is -4.4 meV/atom.

Lattice parameters (Å, degrees): 3.6526 3.6526 3.6526 60.00 60.00 60.00
Atoms (fractional coordinates):
Co: 0.0000 0.0000 0.0000
Zr: 0.5000 0.5000 0.5000



Record 8
Zr3Co: optimized geometry, PBE-GGA.

Calculated values
Its raw total energy is -8.07 eV/atom. The value obtained for the energy relative to the elements is 119.1 meV/atom.

Lattice parameters (Å, degrees): 6.0583 6.0583 4.8709 90.00 90.00 120.00
Atoms (fractional coordinates):
Co: 0.6667 0.3333 0.2500
Co: 0.3333 0.6667 0.7500
Zr: 0.1755 0.3510 0.2500
Zr: 0.1755 0.8245 0.2500
Zr: 0.6490 0.8245 0.2500
Zr: 0.3510 0.1755 0.7500
Zr: 0.8245 0.1755 0.7500
Zr: 0.8245 0.6490 0.7500



Q: energy relative to the elements of number 3 (ZrCo)?
A: 405.5 meV/atom



Q: Among the records above, which one has the lowest energy relative to the elements?
A: number 5



Copy entry 4 word for word.
ZrCo: optimized geometry, PBE-GGA.

Calculated values
Its raw total energy is -7.63 eV/atom. The value obtained for the energy relative to the elements is 195.7 meV/atom.

Lattice parameters (Å, degrees): 4.9514 11.3354 4.5487 90.00 90.00 90.00
Atoms (fractional coordinates):
Co: 0.9291 0.2548 0.0000
Co: 0.5103 0.3750 0.0000
Co: 0.9291 0.4952 0.0000
Co: 0.5480 0.8750 0.0000
Co: 0.7853 0.3750 0.5000
Co: 0.4042 0.7548 0.5000
Co: 0.8230 0.8750 0.5000
Co: 0.4042 0.9952 0.5000
Zr: 0.4729 0.1253 0.0000
Zr: 0.4729 0.6247 0.0000
Zr: 0.0224 0.7627 0.0000
Zr: 0.0224 0.9873 0.0000
Zr: 0.8605 0.1245 0.5000
Zr: 0.3108 0.2625 0.5000
Zr: 0.3108 0.4875 0.5000
Zr: 0.8605 0.6255 0.5000